[1]
Computed, not measured: Tb4TmN5 after structural relaxation at the PBE-GGA level of DFT.

Cell lengths 6.0259, 6.0259, 6.0259 Å; angles 99.60, 99.60, 131.79 degrees
Positions (direct):
Tb1 0.1003 0.7008 0.8010
Tb2 0.2992 0.1003 0.3995
Tb3 0.7008 0.8997 0.6005
Tb4 0.8997 0.2992 0.1990
Tm1 0.4999 0.4999 0.0000
N1 0.0012 0.0012 0.0000
N2 0.2045 0.4021 0.6049
N3 0.4021 0.7973 0.1977
N4 0.5996 0.2045 0.8023
N5 0.7973 0.5996 0.3951

Output
As for the space-group type: No. 79. The density of states at the Fermi level is 0.406 states/eV/f.u. The value obtained for the total DFT energy (no corrections) is -81.53 eV/f.u.

---

[2]
Computed, not measured: PmHo6In after structural relaxation at the PBE-GGA level of DFT.

Cell lengths 4.8943, 4.8943, 10.0021 Å; angles 90.00, 90.00, 90.00 degrees
Positions (direct):
Pm1 0.0000 0.0000 0.0000
Ho1 0.0000 0.5000 0.2576
Ho2 0.0000 0.5000 0.7424
Ho3 0.5000 0.0000 0.2576
Ho4 0.5000 0.0000 0.7424
Ho5 0.5000 0.5000 0.0000
Ho6 0.5000 0.5000 0.5000
In1 0.0000 0.0000 0.5000

Output
As for the space-group type: No. 123. The calculation puts the formation energy at -108 meV/atom. The density of states at the Fermi level is 8.557 states/eV/f.u.

---

[3]
Computed, not measured: Ga2AsP after structural relaxation at the PBE-GGA level of DFT.

Cell lengths 6.8807, 6.8807, 6.8807 Å; angles 131.78, 131.78, 70.58 degrees
Positions (direct):
Ga1 0.1118 0.6250 0.9868
Ga2 0.3750 0.3618 0.4868
Ga3 0.6382 0.1250 0.0132
Ga4 0.8750 0.8882 0.5132
As1 0.2500 0.7500 0.5000
As2 0.5000 0.5000 0.0000
P1 0.0000 0.0000 0.0000
P2 0.7500 0.2500 0.5000

Output
As for the space-group type: No. 122. The calculation puts the formation energy at -379 meV/atom. The density of states at the Fermi level is 0.000 states/eV/f.u.

---

[4]
Computed, not measured: AlIn2Si after structural relaxation at the PBE-GGA level of DFT.

Cell lengths 5.5745, 5.5745, 5.5745 Å; angles 134.57, 134.57, 66.20 degrees
Positions (direct):
Al1 0.0000 0.0000 0.0000
In1 0.2500 0.7500 0.5000
In2 0.5000 0.5000 0.0000
Si1 0.7500 0.2500 0.5000

Output
As for the space-group type: No. 119. The density of states at the Fermi level is 1.625 states/eV/f.u. The value obtained for the total DFT energy (no corrections) is -13.28 eV/f.u.

---

[5]
Computed, not measured: TlIN2 after structural relaxation at the PBE-GGA level of DFT.

Cell lengths 6.9116, 6.9116, 6.9116 Å; angles 30.36, 30.36, 30.36 degrees
Positions (direct):
Tl1 0.0000 0.0000 0.0000
I1 0.5000 0.5000 0.5000
N1 0.3924 0.3924 0.3924
N2 0.6076 0.6076 0.6076

Output
As for the space-group type: No. 166. The density of states at the Fermi level is 1.964 states/eV/f.u. The value obtained for the total DFT energy (no corrections) is -15.29 eV/f.u.

---

[6]
Computed, not measured: GeSbAuBr2 after structural relaxation at the PBE-GGA level of DFT.

Cell lengths 5.0603, 5.0603, 5.7877 Å; angles 90.00, 90.00, 90.00 degrees
Positions (direct):
Ge1 0.0000 0.0000 0.0000
Sb1 0.0000 0.0000 0.5000
Au1 0.5000 0.5000 0.5000
Br1 0.0000 0.5000 0.0000
Br2 0.5000 0.0000 0.0000

Output
As for the space-group type: No. 123. The density of states at the Fermi level is 4.253 states/eV/f.u. The value obtained for the total DFT energy (no corrections) is -13.60 eV/f.u.

---

[7]
Computed, not measured: ZrFe2SiAg after structural relaxation at the PBE-GGA level of DFT.

Cell lengths 4.4553, 4.4553, 5.2570 Å; angles 90.00, 90.00, 90.00 degrees
Positions (direct):
Zr1 0.0000 0.0000 0.0000
Fe1 0.0000 0.5000 0.0000
Fe2 0.5000 0.0000 0.0000
Si1 0.5000 0.5000 0.5000
Ag1 0.0000 0.0000 0.5000

Output
As for the space-group type: No. 123. The density of states at the Fermi level is 7.441 states/eV/f.u. The value obtained for the total DFT energy (no corrections) is -24.90 eV/f.u.

---

[8]
Computed, not measured: NbCuTc after structural relaxation at the PBE-GGA level of DFT.

Cell lengths 3.9352, 6.1837, 6.1837 Å; angles 36.47, 90.00, 90.00 degrees
Positions (direct):
Nb1 0.0000 0.0000 0.0000
Nb2 0.0000 0.3191 0.3191
Cu1 0.5000 0.1616 0.1616
Cu2 0.5000 0.8241 0.8241
Tc1 0.0000 0.6603 0.6603
Tc2 0.5000 0.4947 0.4947

Output
As for the space-group type: No. 38. The calculation puts the formation energy at 13 meV/atom. The density of states at the Fermi level is 2.906 states/eV/f.u.

---

[9]
Computed, not measured: VFeCoSi after structural relaxation at the PBE-GGA level of DFT.

Cell lengths 3.9944, 3.9944, 3.9944 Å; angles 60.00, 60.00, 60.00 degrees
Positions (direct):
V1 0.0000 0.0000 0.0000
Fe1 0.7500 0.7500 0.7500
Co1 0.2500 0.2500 0.2500
Si1 0.5000 0.5000 0.5000

Output
As for the space-group type: No. 216. The density of states at the Fermi level is 2.187 states/eV/f.u. The value obtained for the total DFT energy (no corrections) is -31.95 eV/f.u.

---

[10]
Computed, not measured: Dy2SbH2 after structural relaxation at the PBE-GGA level of DFT.

Cell lengths 7.4209, 6.3550, 5.8829 Å; angles 74.55, 55.63, 49.83 degrees
Positions (direct):
Dy1 0.0590 0.6910 0.0590
Dy2 0.3090 0.9410 0.3090
Dy3 0.6910 0.0590 0.6910
Dy4 0.9410 0.3090 0.9410
Sb1 0.3750 0.3750 0.3750
Sb2 0.6250 0.6250 0.6250
H1 0.0056 0.0056 0.2444
H2 0.2444 0.2444 0.0056
H3 0.7556 0.7556 0.9944
H4 0.9944 0.9944 0.7556

Output
As for the space-group type: No. 70. The density of states at the Fermi level is 1.855 states/eV/f.u. The value obtained for the total DFT energy (no corrections) is -23.84 eV/f.u.

---

[11]
Computed, not measured: TbY5Ru6 after structural relaxation at the PBE-GGA level of DFT.

Cell lengths 8.3379, 8.3379, 8.3379 Å; angles 146.33, 131.60, 60.25 degrees
Positions (direct):
Tb1 0.0000 0.0000 0.0000
Y1 0.1674 0.6674 0.5000
Y2 0.3337 0.3337 0.0000
Y3 0.5000 0.0000 0.5000
Y4 0.6663 0.6663 0.0000
Y5 0.8326 0.3326 0.5000
Ru1 0.0828 0.8340 0.2488
Ru2 0.2480 0.5000 0.7480
Ru3 0.4148 0.1660 0.2488
Ru4 0.5852 0.8340 0.7512
Ru5 0.7520 0.5000 0.2520
Ru6 0.9172 0.1660 0.7512

Output
As for the space-group type: No. 71. The calculation puts the formation energy at -276 meV/atom. The density of states at the Fermi level is 13.317 states/eV/f.u.

---

[12]
Computed, not measured: MgIr2Ru after structural relaxation at the PBE-GGA level of DFT.

Cell lengths 2.7735, 2.7735, 7.8018 Å; angles 90.00, 90.00, 90.00 degrees
Positions (direct):
Mg1 0.0000 0.0000 0.0000
Ir1 0.0000 0.0000 0.4975
Ir2 0.5000 0.5000 0.7422
Ru1 0.5000 0.5000 0.2680

Output
As for the space-group type: No. 99. The calculation puts the formation energy at -37 meV/atom. The density of states at the Fermi level is 3.392 states/eV/f.u.